TaAs2Se after structural relaxation, computed with GGA-PBE.

Properties
Uncorrected formation energy: 0.292 eV/atom

Lattice parameters (Å, degrees): 5.299 5.299 5.299 135.22 135.22 65.18
Fractional positions:
Ta: 0.750 0.250 0.500
As: 0.500 0.500 0.000
Se: 0.250 0.750 0.500
As: 0.000 0.000 0.000